Record 1
Entry from Alexandria: a PBEsol-optimized structure of RePS2O (meta-GGA SCAN).

a b c (Å): 4.0965 4.0965 3.8362
angles (deg): 90.00 90.00 90.00
Closest atoms and distances in Å follow each position.
Space group P4/mmm (No. 123)
One atom of each set of equivalent atoms:
Re 0.0000 0.0000 0.0000  8 S 2.81, 4 P 2.90
P 0.5000 0.5000 0.0000  2 O 1.92
S 0.0000 0.5000 0.5000  2 O 2.05
O 0.5000 0.5000 0.5000  2 P 1.92, 4 S 2.05



Record 2
Entry from Alexandria: a PBEsol-optimized structure of TaReP2O (meta-GGA SCAN).

a b c (Å): 4.8473 4.8473 3.7278
angles (deg): 90.00 90.00 90.00
Closest atoms and distances in Å follow each position.
Space group P4/mmm (No. 123)
One atom of each set of equivalent atoms:
Ta 0.0000 0.0000 0.0000  2 O 1.86
Re 0.5000 0.5000 0.5000  8 P 3.06
P 0.0000 0.5000 0.0000  2 Ta 2.42
O 0.0000 0.0000 0.5000  2 Ta 1.86



Record 3
Entry from Alexandria: a PBEsol-optimized structure of PRhO4 (meta-GGA SCAN).

a b c (Å): 10.3711 13.1326 6.3858
angles (deg): 90.00 90.00 90.00
Closest atoms and distances in Å follow each position.
Space group Imma (No. 74)
One atom of each set of equivalent atoms:
P 0.0000 0.2500 0.0787  4 O 1.52-1.59
P 0.2500 0.0756 0.7500  4 O 1.50-1.62
Rh 0.0000 0.0000 0.0000  6 O 2.01-2.03
Rh 0.2500 0.1315 0.2500  6 O 1.99-2.04
O 0.0000 0.1527 0.9490  1 P 1.52
O 0.1233 0.2500 0.2267  1 P 1.59
O 0.1361 0.0081 0.2235  1 P 1.62
O 0.2241 0.1393 0.5591  1 P 1.50



Record 4
Entry from Alexandria: a PBEsol-optimized structure of P2RhO2 (meta-GGA SCAN).

a b c (Å): 3.3185 3.3185 5.3881
angles (deg): 90.00 90.00 90.00
Closest atoms and distances in Å follow each position.
Space group P4/mmm (No. 123)
One atom of each set of equivalent atoms:
P 0.0000 0.0000 0.0000  4 Rh 2.35
P 0.0000 0.0000 0.5000  4 O 1.66
Rh 0.5000 0.5000 0.0000  4 P 2.35
O 0.0000 0.5000 0.5000  2 P 1.66



Record 5
Entry from Alexandria: a PBEsol-optimized structure of P2RuRhO (meta-GGA SCAN).

a b c (Å): 4.6392 4.6392 3.4951
angles (deg): 90.00 90.00 90.00
Closest atoms and distances in Å follow each position.
Space group P4/mmm (No. 123)
One atom of each set of equivalent atoms:
P 0.0000 0.5000 0.0000  2 Rh 2.32
Ru 0.0000 0.0000 0.5000  8 P 2.90
Rh 0.5000 0.5000 0.0000  2 O 1.75
O 0.5000 0.5000 0.5000  2 Rh 1.75



Record 6
Entry from Alexandria: a PBEsol-optimized structure of PRhSO2 (meta-GGA SCAN).

a b c (Å): 3.6212 3.6212 5.3610
angles (deg): 90.00 90.00 90.00
Closest atoms and distances in Å follow each position.
Space group P4/mmm (No. 123)
One atom of each set of equivalent atoms:
P 0.0000 0.0000 0.0000  4 S 2.56, 2 Rh 2.68
Rh 0.0000 0.0000 0.5000  4 O 1.81
S 0.5000 0.5000 0.0000  4 P 2.56
O 0.0000 0.5000 0.5000  2 Rh 1.81



| no. | formation energy from raw total energies (eV per atom) | mass density (g cm⁻³) |
| --- | --- | --- |
| 1 | 1.1951 | 7.7 |
| 2 | 0.2873 | 8.4 |
| 3 | -1.8072 | 4.5 |
| 4 | -0.4377 | 5.5 |
| 5 | 0.6355 | 6.2 |
| 6 | -0.0380 | 4.7 |